# 1
## KAgP2 (PBEsol)

Data for a relaxed structure of KAgP2.

Geometry as CIF:
```
data_KAgP2
_space_group_name_H-M_alt 'P 1'
_space_group_IT_number 1
_cell_length_a 4.4143
_cell_length_b 4.4143
_cell_length_c 6.2120
_cell_angle_alpha 69.19
_cell_angle_beta 69.19
_cell_angle_gamma 60.00
loop_
_space_group_symop_operation_xyz
'x,y,z'
loop_
_atom_site_label
_atom_site_type_symbol
_atom_site_fract_x
_atom_site_fract_y
_atom_site_fract_z
Ag1 Ag 0.5000 0.5000 0.5000
K1 K 0.0000 0.0000 0.0000
P1 P 0.1907 0.1907 0.4279
P2 P 0.8093 0.8093 0.5721
```

* E_form: 0.071 eV/atom
* space-group type: R-3m, No. 166

=====

# 2
## K2Ag2P (PBEsol)

Data for a relaxed structure of K2Ag2P.

Geometry as CIF:
```
data_K2Ag2P
_space_group_name_H-M_alt 'P 1'
_space_group_IT_number 1
_cell_length_a 3.7186
_cell_length_b 3.7186
_cell_length_c 10.3487
_cell_angle_alpha 100.35
_cell_angle_beta 100.35
_cell_angle_gamma 90.00
loop_
_space_group_symop_operation_xyz
'x,y,z'
loop_
_atom_site_label
_atom_site_type_symbol
_atom_site_fract_x
_atom_site_fract_y
_atom_site_fract_z
P1 P 0.0000 0.0000 0.0000
K1 K 0.4024 0.4024 0.8049
K2 K 0.5976 0.5976 0.1951
Ag1 Ag 0.2500 0.7500 0.5000
Ag2 Ag 0.7500 0.2500 0.5000
```

* E_form: 0.183 eV/atom
* space-group type: I4/mmm, No. 139

=====

# 3
## KAgP4 (PBEsol)

Data for a relaxed structure of KAgP4.

Geometry as CIF:
```
data_KAgP4
_space_group_name_H-M_alt 'P 1'
_space_group_IT_number 1
_cell_length_a 5.8125
_cell_length_b 5.8125
_cell_length_c 5.8125
_cell_angle_alpha 60.00
_cell_angle_beta 60.00
_cell_angle_gamma 60.00
loop_
_space_group_symop_operation_xyz
'x,y,z'
loop_
_atom_site_label
_atom_site_type_symbol
_atom_site_fract_x
_atom_site_fract_y
_atom_site_fract_z
Ag1 Ag 0.7500 0.7500 0.7500
K1 K 0.0000 0.0000 0.0000
P1 P 0.4047 0.4047 0.4047
P2 P 0.4047 0.4047 0.7858
P3 P 0.7858 0.4047 0.4047
P4 P 0.4047 0.7858 0.4047
```

* E_form: 0.192 eV/atom
* space-group type: F-43m, No. 216

=====

# 4
## KAgP2 (PBEsol)

Data for a relaxed structure of KAgP2.

Geometry as CIF:
```
data_KAgP2
_space_group_name_H-M_alt 'P 1'
_space_group_IT_number 1
_cell_length_a 3.3027
_cell_length_b 3.3027
_cell_length_c 8.8551
_cell_angle_alpha 79.25
_cell_angle_beta 79.25
_cell_angle_gamma 60.00
loop_
_space_group_symop_operation_xyz
'x,y,z'
loop_
_atom_site_label
_atom_site_type_symbol
_atom_site_fract_x
_atom_site_fract_y
_atom_site_fract_z
Ag1 Ag 0.4813 0.4813 0.5560
K1 K 0.2564 0.2564 0.2307
P1 P 0.0228 0.0228 0.9317
P2 P 0.7395 0.7395 0.7816
```

* E_form: 0.144 eV/atom
* space-group type: R3m, No. 160

=====

# 5
## KAgPSe3 (PBEsol)

Data for a relaxed structure of KAgPSe3.

Geometry as CIF:
```
data_KAgPSe3
_space_group_name_H-M_alt 'P 1'
_space_group_IT_number 1
_cell_length_a 8.5087
_cell_length_b 11.0336
_cell_length_c 20.7227
_cell_angle_alpha 90.00
_cell_angle_beta 93.38
_cell_angle_gamma 90.00
loop_
_space_group_symop_operation_xyz
'x,y,z'
loop_
_atom_site_label
_atom_site_type_symbol
_atom_site_fract_x
_atom_site_fract_y
_atom_site_fract_z
K1 K 0.1885 0.8432 0.7096
K2 K 0.8115 0.3432 0.7904
K3 K 0.8115 0.1568 0.2904
K4 K 0.1885 0.6568 0.2096
K5 K 0.5408 0.7065 0.0094
K6 K 0.4592 0.2065 0.4906
K7 K 0.4592 0.2935 0.9906
K8 K 0.5408 0.7935 0.5094
K9 K 0.8618 0.5182 0.6027
K10 K 0.1382 0.0182 0.8973
K11 K 0.1382 0.4818 0.3973
K12 K 0.8618 0.9818 0.1027
Ag1 Ag 0.5395 0.6507 0.7777
Ag2 Ag 0.4605 0.1507 0.7223
Ag3 Ag 0.4605 0.3493 0.2223
Ag4 Ag 0.5395 0.8493 0.2777
Ag5 Ag 0.1746 0.5332 0.8639
Ag6 Ag 0.8254 0.0332 0.6361
Ag7 Ag 0.8254 0.4668 0.1361
Ag8 Ag 0.1746 0.9668 0.3639
Ag9 Ag 0.8821 0.7198 0.8968
Ag10 Ag 0.1179 0.2198 0.6032
Ag11 Ag 0.1179 0.2802 0.1032
Ag12 Ag 0.8821 0.7802 0.3968
P1 P 0.5962 0.9547 0.8591
P2 P 0.4038 0.4547 0.6409
P3 P 0.4038 0.0453 0.1409
P4 P 0.5962 0.5453 0.3591
P5 P 0.7276 0.9205 0.7672
P6 P 0.2724 0.4205 0.7328
P7 P 0.2724 0.0795 0.2328
P8 P 0.7276 0.5795 0.2672
P9 P 0.0730 0.5768 0.0258
P10 P 0.9270 0.0768 0.4742
P11 P 0.9270 0.4232 0.9742
P12 P 0.0730 0.9232 0.5258
Se1 Se 0.7681 0.9225 0.9410
Se2 Se 0.2319 0.4225 0.5590
Se3 Se 0.2319 0.0775 0.0590
Se4 Se 0.7681 0.5775 0.4410
Se5 Se 0.8269 0.7360 0.7717
Se6 Se 0.1731 0.2360 0.7283
Se7 Se 0.1731 0.2640 0.2283
Se8 Se 0.8269 0.7640 0.2717
Se9 Se 0.4498 0.4398 0.8157
Se10 Se 0.5502 0.9398 0.6843
Se11 Se 0.5502 0.5602 0.1843
Se12 Se 0.4498 0.0602 0.3157
Se13 Se 0.5168 0.1439 0.8512
Se14 Se 0.4832 0.6439 0.6488
Se15 Se 0.4832 0.8561 0.1488
Se16 Se 0.5168 0.3561 0.3512
Se17 Se 0.1670 0.6976 0.9507
Se18 Se 0.8330 0.1976 0.5493
Se19 Se 0.8330 0.3024 0.0493
Se20 Se 0.1670 0.8024 0.4507
Se21 Se 0.2684 0.4856 0.0805
Se22 Se 0.7316 0.9856 0.4195
Se23 Se 0.7316 0.5144 0.9195
Se24 Se 0.2684 0.0144 0.5805
Se25 Se 0.4092 0.8147 0.8530
Se26 Se 0.5908 0.3147 0.6470
Se27 Se 0.5908 0.1853 0.1470
Se28 Se 0.4092 0.6853 0.3530
Se29 Se 0.9144 0.6736 0.0876
Se30 Se 0.0856 0.1736 0.4124
Se31 Se 0.0856 0.3264 0.9124
Se32 Se 0.9144 0.8264 0.5876
Se33 Se 0.9125 0.0595 0.7626
Se34 Se 0.0875 0.5595 0.7374
Se35 Se 0.0875 0.9405 0.2374
Se36 Se 0.9125 0.4405 0.2626
```

* formation energy (no corrections): -269.0 kJ/mol of formula units
* space-group type: P2_1/c, No. 14

=====

# 6
## KAgPb2 (PBEsol)

Data for a relaxed structure of KAgPb2.

Geometry as CIF:
```
data_KAgPb2
_space_group_name_H-M_alt 'P 1'
_space_group_IT_number 1
_cell_length_a 3.4635
_cell_length_b 4.6973
_cell_length_c 7.2962
_cell_angle_alpha 90.00
_cell_angle_beta 102.58
_cell_angle_gamma 90.00
loop_
_space_group_symop_operation_xyz
'x,y,z'
loop_
_atom_site_label
_atom_site_type_symbol
_atom_site_fract_x
_atom_site_fract_y
_atom_site_fract_z
Pb1 Pb 0.6762 0.0000 0.8082
Pb2 Pb 0.3238 0.0000 0.1918
K1 K 0.0000 0.5000 0.5000
Ag1 Ag 0.5000 0.5000 0.0000
```

* E_form: -0.009 eV/atom
* space-group type: P2/m, No. 10